Crystalline Ca2PRh at its relaxed geometry, computed with PBE-GGA.

ΔE_f (eV per atom): -0.277
Total DFT energy (no corrections) (eV/atom): -4.4677
Total magnetization (μB per formula unit): 0.00
Crystal system: tetragonal

Cell lengths 7.663, 7.663, 6.152 Å; angles 51.48, 51.48, 90.00 degrees
Element x y z (fractional)
Ca 0.875 0.883 0.750
Ca 0.633 0.125 0.250
Ca 0.117 0.625 0.250
Ca 0.375 0.367 0.750
P 0.500 0.500 0.000
P 0.250 0.750 0.500
Rh 0.750 0.250 0.500
Rh 0.000 0.000 0.000

---

Crystalline Pm4RuPb3 at its relaxed geometry, computed with PBE-GGA.

ΔE_f (eV per atom): -0.395
Total DFT energy (no corrections) (eV/atom): -5.3204
Total magnetization (μB per formula unit): 0.00
Crystal system: orthorhombic

Cell lengths 4.486, 4.544, 11.410 Å; angles 90.00, 90.00, 90.00 degrees
Element x y z (fractional)
Pm 0.000 0.500 0.888
Pm 0.500 0.000 0.638
Pm 0.500 0.500 0.324
Pm 0.000 0.000 0.133
Pb 0.500 0.000 0.923
Pb 0.000 0.000 0.408
Pb 0.000 0.500 0.602
Ru 0.500 0.500 0.085

---

Crystalline Pm4NiIrCl2 at its relaxed geometry, computed with PBE-GGA.

Total DFT energy (no corrections) (eV/atom): -5.7314
Total magnetization (μB per formula unit): 0.00
Crystal system: monoclinic

Cell lengths 4.066, 7.834, 7.025 Å; angles 72.46, 90.00, 90.00 degrees
Element x y z (fractional)
Ni 0.000 0.500 0.500
Pm 0.000 0.296 0.239
Pm 0.500 0.299 0.732
Pm 0.000 0.704 0.761
Pm 0.500 0.701 0.268
Ir 0.500 0.500 0.000
Cl 0.000 0.000 0.000
Cl 0.500 0.000 0.500

---

Crystalline Np3ScAs4 at its relaxed geometry, computed with PBE-GGA.

ΔE_f (eV per atom): -0.835
Total DFT energy (no corrections) (eV/atom): -8.8037
Total magnetization (μB per formula unit): 11.70
Crystal system: cubic

Cell lengths 5.742, 5.742, 5.742 Å; angles 90.00, 90.00, 90.00 degrees
Site moments in Bohr magnetons follow the coordinates.
Element x y z (fractional)
As 0.500 0.000 0.000  -0.09
As 0.000 0.500 0.000  -0.09
As 0.500 0.500 0.500  -0.11
As 0.000 0.000 0.500  -0.09
Np 0.500 0.500 0.000  3.70
Np 0.500 0.000 0.500  3.70
Np 0.000 0.500 0.500  3.70
Sc 0.000 0.000 0.000  0.09